The following is a PBE calculation of a relaxed SrCd6Au4 crystal, from Alexandria.

Space group: P-6m2, No. 187
Total energy: -23.8 eV/cell
Magnetization: 0.0 μB/cell
DOS(E_F): 0.45 states/eV per atom

Cell: 4.454 8.097 8.097 Å, 120.00 90.00 90.00°
Fractional positions:
Cd: 0.500 0.201 0.403
Cd: 0.500 0.597 0.799
Cd: 0.000 0.537 0.073
Cd: 0.000 0.537 0.463
Cd: 0.000 0.927 0.463
Cd: 0.500 0.201 0.799
Au: 0.500 0.396 0.198
Au: 0.500 0.802 0.604
Au: 0.500 0.802 0.198
Au: 0.000 0.333 0.667
Sr: 0.000 0.000 0.000

=====

The following is a PBE calculation of a relaxed Sr2CdAu crystal, from Alexandria.

Space group: C2/m, No. 12
Total energy: -9.4 eV/cell
Magnetization: 0.0 μB/cell
DOS(E_F): 0.47 states/eV per atom

Cell: 4.507 4.507 8.630 Å, 74.79 74.79 60.17°
Fractional positions:
Au: 0.750 0.750 0.750
Sr: 0.011 0.011 0.967
Sr: 0.489 0.489 0.533
Cd: 0.250 0.250 0.250

=====

The following is a PBE calculation of a relaxed Sr2Cd3Au crystal, from Alexandria.

Space group: Pmm2, No. 25
Total energy: -12.1 eV/cell
Magnetization: 0.0 μB/cell
DOS(E_F): 0.71 states/eV per atom

Cell: 4.058 4.949 8.730 Å, 90.00 90.00 90.00°
Fractional positions:
Au: 0.500 0.500 0.335
Sr: 0.000 0.500 0.021
Sr: 0.000 0.000 0.482
Cd: 0.500 0.000 0.167
Cd: 0.500 0.000 0.832
Cd: 0.500 0.500 0.664

=====

The following is a PBE calculation of a relaxed SrCdAu crystal, from Alexandria.

Space group: P-6m2, No. 187
Total energy: -7.6 eV/cell
Magnetization: 0.0 μB/cell
DOS(E_F): 0.75 states/eV per atom

Cell: 4.906 4.906 4.041 Å, 90.00 90.00 120.00°
Fractional positions:
Cd: 0.667 0.333 0.167
Au: 0.000 0.000 0.166
Sr: 0.333 0.667 0.667

=====

The following is a PBE calculation of a relaxed Sr6Cd5Au crystal, from Alexandria.

Space group: P2/m, No. 10
Total energy: -22.6 eV/cell
Magnetization: 0.0 μB/cell
DOS(E_F): 0.69 states/eV per atom

Cell: 5.710 7.942 9.049 Å, 90.00 108.34 90.00°
Fractional positions:
Sr: 0.500 0.760 0.000
Sr: 0.839 0.246 0.678
Sr: 0.161 0.246 0.322
Sr: 0.839 0.754 0.678
Sr: 0.161 0.754 0.322
Sr: 0.500 0.240 0.000
Au: 0.000 0.000 0.000
Cd: 0.326 0.000 0.651
Cd: 0.667 0.500 0.335
Cd: 0.674 0.000 0.349
Cd: 0.000 0.500 0.000
Cd: 0.333 0.500 0.665

=====

The following is a PBE calculation of a relaxed Sr4Cd3Au crystal, from Alexandria.

Space group: P4/mmm, No. 123
Total energy: -16.2 eV/cell
Magnetization: 0.0 μB/cell
DOS(E_F): 0.62 states/eV per atom

Cell: 3.975 3.975 16.142 Å, 90.00 90.00 90.00°
Fractional positions:
Cd: 0.500 0.500 0.756
Cd: 0.500 0.500 0.500
Cd: 0.500 0.500 0.244
Sr: 0.000 0.000 0.886
Sr: 0.000 0.000 0.628
Sr: 0.000 0.000 0.372
Sr: 0.000 0.000 0.114
Au: 0.500 0.500 0.000